{
  "formula": "Li2MnCd",
  "functional": "PBE",
  "state": "optimized geometry",
  "lattice_angstrom": [[-2.415, -2.085, 0.712], [1.098, -0.223, 3.072], [-3.672, 4.820, 1.662]],
  "species": ["Cd", "Li", "Li", "Mn"],
  "frac_coords": [[0.500, 0.500, 0.750], [0.000, 0.000, 0.006], [0.000, 0.000, 0.494], [0.500, 0.500, 0.250]],
  "ef_mev_per_atom": 144,
  "spacegroup": "No. 123"
}



{
  "formula": "ThMnGaPt3",
  "functional": "PBE",
  "state": "optimized geometry",
  "lattice_angstrom": [[5.708, 0.000, 0.000], [0.000, 5.720, 0.000], [0.000, -2.860, 6.892]],
  "species": ["Pt", "Pt", "Pt", "Pt", "Pt", "Pt", "Th", "Th", "Ga", "Ga", "Mn", "Mn"],
  "frac_coords": [[0.500, 0.255, 0.000], [0.250, 0.176, 0.352], [0.750, 0.824, 0.648], [0.500, 0.745, 0.000], [0.000, 0.745, 0.000], [0.000, 0.255, 0.000], [0.750, 0.330, 0.660], [0.250, 0.670, 0.340], [0.750, 0.111, 0.223], [0.250, 0.889, 0.777], [0.250, 0.364, 0.727], [0.750, 0.636, 0.273]],
  "ef_mev_per_atom": -583,
  "spacegroup": "No. 63"
}



{
  "formula": "PrTm2Sc",
  "functional": "PBE",
  "state": "optimized geometry",
  "lattice_angstrom": [[-1.635, 2.925, 0.976], [-2.840, -1.859, 0.813], [3.411, -1.175, 9.232]],
  "species": ["Tm", "Tm", "Sc", "Pr"],
  "frac_coords": [[0.000, 0.000, 0.232], [0.000, 0.000, 0.768], [0.500, 0.500, 0.000], [0.500, 0.500, 0.500]],
  "ef_mev_per_atom": 54,
  "spacegroup": "No. 123",
  "e_above_lowest_polymorph_mev_per_atom": 25
}



{
  "formula": "Nd2PuHfN4",
  "functional": "PBE",
  "state": "optimized geometry",
  "lattice_angstrom": [[3.455, 0.000, 0.000], [0.000, 5.981, 0.113], [0.000, -2.082, 5.709]],
  "species": ["Nd", "Nd", "Pu", "N", "N", "N", "N", "Hf"],
  "frac_coords": [[0.500, 0.000, 0.500], [0.000, 0.500, 0.500], [0.500, 0.500, 0.000], [0.000, 0.250, 0.785], [0.500, 0.772, 0.786], [0.000, 0.750, 0.215], [0.500, 0.228, 0.214], [0.000, 0.000, 0.000]],
  "formation_energy_uncorrected_ev_per_atom": -1.46,
  "spacegroup": "No. 10"
}



{
  "formula": "CsCuP2Cl",
  "functional": "PBE",
  "state": "optimized geometry",
  "lattice_angstrom": [[-2.445, 3.358, -4.420], [2.804, -3.421, -4.150], [-4.883, -3.788, -0.176]],
  "species": ["Cu", "Cl", "P", "P", "Cs"],
  "frac_coords": [[0.500, 0.500, 0.500], [0.000, 0.000, 0.500], [0.500, 0.000, 0.000], [0.000, 0.500, 0.000], [0.000, 0.000, 0.000]],
  "formation_energy_uncorrected_ev_per_atom": 1.58,
  "spacegroup": "No. 123",
  "e_above_lowest_polymorph_mev_per_atom": 1589
}



{
  "formula": "Sm4CdAg2Pt",
  "functional": "PBE",
  "state": "optimized geometry",
  "lattice_angstrom": [[5.228, 0.000, 0.000], [2.614, 4.528, 0.000], [2.614, 1.509, 8.517]],
  "species": ["Sm", "Sm", "Sm", "Sm", "Pt", "Ag", "Ag", "Cd"],
  "frac_coords": [[0.617, 0.617, 0.150], [0.869, 0.869, 0.394], [0.383, 0.383, 0.850], [0.131, 0.131, 0.606], [0.500, 0.500, 0.500], [0.740, 0.740, 0.780], [0.260, 0.260, 0.220], [0.000, 0.000, 0.000]],
  "ef_mev_per_atom": -519,
  "spacegroup": "No. 166"
}



{
  "formula": "AsAu5",
  "functional": "PBE",
  "state": "optimized geometry",
  "lattice_angstrom": [[-0.789, 5.555, 5.340], [-1.381, -3.953, -6.517], [-3.306, -2.741, 2.362]],
  "species": ["Au", "Au", "Au", "Au", "Au", "As"],
  "frac_coords": [[0.113, 0.887, 0.500], [0.332, 0.668, 0.000], [0.446, 0.554, 0.500], [0.779, 0.221, 0.500], [0.664, 0.336, 0.000], [0.000, 0.000, 0.000]],
  "ef_mev_per_atom": 84,
  "spacegroup": "No. 38"
}



{
  "formula": "Mg2CuNi2",
  "functional": "PBE",
  "state": "optimized geometry",
  "lattice_angstrom": [[3.870, 0.000, 0.000], [0.000, 3.870, 0.000], [1.935, 1.935, 5.421]],
  "species": ["Cu", "Ni", "Ni", "Mg", "Mg"],
  "frac_coords": [[0.000, 0.000, 0.000], [0.601, 0.601, 0.798], [0.399, 0.399, 0.202], [0.250, 0.750, 0.500], [0.750, 0.250, 0.500]],
  "ef_mev_per_atom": 438,
  "spacegroup": "No. 139",
  "e_above_lowest_polymorph_mev_per_atom": 548
}



{
  "formula": "KMgP",
  "functional": "PBE",
  "state": "optimized geometry",
  "lattice_angstrom": [[4.348, 0.000, 0.000], [-2.174, 3.766, 0.000], [0.000, 0.000, 5.245]],
  "species": ["P", "Mg", "K"],
  "frac_coords": [[0.667, 0.333, 0.500], [0.333, 0.667, 0.500], [0.000, 0.000, 0.000]],
  "ef_mev_per_atom": -497,
  "spacegroup": "No. 187"
}



{
  "formula": "HfMgCu2",
  "functional": "PBE",
  "state": "optimized geometry",
  "lattice_angstrom": [[-1.032, 4.620, 5.161], [-6.788, -1.715, 0.178], [-3.327, -0.648, 4.666]],
  "species": ["Hf", "Hf", "Cu", "Cu", "Cu", "Cu", "Mg", "Mg"],
  "frac_coords": [[0.750, 0.250, 0.500], [0.000, 0.000, 0.000], [0.131, 0.625, 0.250], [0.619, 0.125, 0.250], [0.375, 0.381, 0.750], [0.875, 0.869, 0.750], [0.250, 0.750, 0.500], [0.500, 0.500, 0.000]],
  "ef_mev_per_atom": 388,
  "spacegroup": "No. 122"
}



{
  "formula": "As2SF",
  "functional": "PBE",
  "state": "optimized geometry",
  "lattice_angstrom": [[6.860, 0.000, 0.000], [0.000, 6.860, 0.000], [3.430, 3.430, 2.935]],
  "species": ["As", "As", "As", "As", "F", "F", "S", "S"],
  "frac_coords": [[0.375, 0.373, 0.750], [0.875, 0.877, 0.750], [0.123, 0.625, 0.250], [0.627, 0.125, 0.250], [0.250, 0.750, 0.500], [0.500, 0.500, 0.000], [0.750, 0.250, 0.500], [0.000, 0.000, 0.000]],
  "formation_energy_uncorrected_ev_per_atom": -0.19,
  "spacegroup": "No. 122",
  "e_above_lowest_polymorph_mev_per_atom": 0
}



{
  "formula": "DyGe2IrRh",
  "functional": "PBE",
  "state": "optimized geometry",
  "lattice_angstrom": [[4.149, 0.000, 0.000], [0.000, 4.149, 0.000], [-2.074, -2.074, 5.171]],
  "species": ["Ge", "Ge", "Dy", "Rh", "Ir"],
  "frac_coords": [[0.621, 0.621, 0.242], [0.379, 0.379, 0.758], [0.000, 0.000, 0.000], [0.750, 0.250, 0.500], [0.250, 0.750, 0.500]],
  "ef_mev_per_atom": -824,
  "spacegroup": "No. 119"
}



Calculated density (g cm⁻³)
4.48; 13.90; 7.20; 10.72; 2.15; 9.26; 16.04; 4.69; 1.82; 7.56; 4.83; 11.25